Computed, not measured: Li2Tl2Cd2PdPt after structural relaxation at the GGA-PBE level of DFT.

## Properties
E (eV per atom): -3.021
SG: P-4m2

a b c (Å): 4.688 4.688 6.627
angles (deg): 90.00 90.00 90.00
Fractional coordinates of all 8 atoms:
Cd 0.000 0.500 0.249
Cd 0.500 0.000 0.751
Li 0.500 0.500 0.000
Li 0.000 0.000 0.500
Pd 0.000 0.000 0.000
Pt 0.500 0.500 0.500
Tl 0.500 0.000 0.249
Tl 0.000 0.500 0.751